CoSnSbO6 | Alexandria | PBE+U | relaxed; space-group type = P-31c; total energy = -107.4 eV/cell
1.0
5.3040 0.0000 0.0000
-2.6520 4.5934 0.0000
0.0000 0.0000 8.7669
Co Sn Sb O
2 2 2 12
Direct
0.0000 0.0000 0.0000
0.0000 0.0000 0.5000
0.3333 0.6667 0.2500
0.6667 0.3333 0.7500
0.3333 0.6667 0.7500
0.6667 0.3333 0.2500
0.0113 0.3453 0.6265
0.0113 0.6660 0.8735
0.3340 0.3453 0.8735
0.3340 0.9887 0.6265
0.3453 0.0113 0.1265
0.3453 0.3340 0.3735
0.6547 0.6660 0.6265
0.6547 0.9887 0.8735
0.6660 0.0113 0.3735
0.6660 0.6547 0.1265
0.9887 0.3340 0.1265
0.9887 0.6547 0.3735